1.
## La4Pr4Nd5 (PBE)

Data for an optimized crystal structure of La4Pr4Nd5.

Calculated values
The calculated total energy is -4.8059 eV/atom.

```
data_La4Pr4Nd5
_chemical_formula_sum 'La8 Pr8 Nd10'
_cell_length_a 13.4114
_cell_length_b 13.4114
_cell_length_c 5.2327
_cell_angle_alpha 90.00
_cell_angle_beta 90.00
_cell_angle_gamma 90.00
_space_group_name_H-M_alt 'I 4/m'
_space_group_IT_number 87
_space_group_name_Hall '-I 4'
loop_
_atom_site_label
_atom_site_type_symbol
_atom_site_fract_x
_atom_site_fract_y
_atom_site_fract_z
La1 La 0.1535 0.7706 0.0000
Pr1 Pr 0.0781 0.3852 0.0000
Nd1 Nd 0.0000 0.0000 0.0000
Nd2 Nd 0.0383 0.1920 0.5000
```

2.
## LaPrNd4 (PBE)

Data for an optimized crystal structure of LaPrNd4.

Calculated values
The calculated total energy is -4.7807 eV/atom. The value obtained for the offset from the most stable computed form is 0.00 kcal/mol of atoms.

```
data_LaPrNd4
_chemical_formula_sum 'La2 Pr2 Nd8'
_cell_length_a 5.2502
_cell_length_b 15.6879
_cell_length_c 5.2310
_cell_angle_alpha 90.00
_cell_angle_beta 90.00
_cell_angle_gamma 90.00
_space_group_name_H-M_alt 'C m m m'
_space_group_IT_number 65
_space_group_name_Hall '-C 2 2'
loop_
_atom_site_label
_atom_site_type_symbol
_atom_site_fract_x
_atom_site_fract_y
_atom_site_fract_z
La1 La 0.0000 0.0000 0.0000
Pr1 Pr 0.0000 0.5000 0.5000
Nd1 Nd 0.0000 0.1672 0.5000
Nd2 Nd 0.0000 0.3320 0.0000
```

3.
## La3Pr4Nd8 (PBE)

Data for an optimized crystal structure of La3Pr4Nd8.

Calculated values
The calculated total energy is -4.4938 eV/atom.

```
data_La3Pr4Nd8
_chemical_formula_sum 'La6 Pr8 Nd16'
_cell_length_a 13.8166
_cell_length_b 13.1738
_cell_length_c 7.0271
_cell_angle_alpha 90.00
_cell_angle_beta 120.47
_cell_angle_gamma 90.00
_space_group_name_H-M_alt 'C 1 2/m 1'
_space_group_IT_number 12
_space_group_name_Hall '-C 2y'
loop_
_atom_site_label
_atom_site_type_symbol
_atom_site_fract_x
_atom_site_fract_y
_atom_site_fract_z
La1 La 0.0000 0.0000 0.0000
La2 La 0.2500 0.2500 0.5000
Pr1 Pr 0.0000 0.5000 0.0000
Pr2 Pr 0.0000 0.5000 0.5000
Pr3 Pr 0.2500 0.2500 0.0000
Nd1 Nd 0.0000 0.1454 0.5000
Nd2 Nd 0.0000 0.2405 0.0000
Nd3 Nd 0.2318 0.0000 0.9554
Nd4 Nd 0.2336 0.0000 0.4854
```

4.
## La6Pr5Nd (PBE)

Data for an optimized crystal structure of La6Pr5Nd.

Calculated values
The calculated total energy is -4.8439 eV/atom.

```
data_La6Pr5Nd
_chemical_formula_sum 'La12 Pr10 Nd2'
_cell_length_a 12.3126
_cell_length_b 11.1614
_cell_length_c 6.4607
_cell_angle_alpha 90.00
_cell_angle_beta 99.96
_cell_angle_gamma 90.00
_space_group_name_H-M_alt 'C 1 2/m 1'
_space_group_IT_number 12
_space_group_name_Hall '-C 2y'
loop_
_atom_site_label
_atom_site_type_symbol
_atom_site_fract_x
_atom_site_fract_y
_atom_site_fract_z
La1 La 0.2503 0.0000 0.2493
La2 La 0.2502 0.1665 0.7500
Pr1 Pr 0.0000 0.0000 0.5000
Pr2 Pr 0.0000 0.1670 0.0000
Pr3 Pr 0.0000 0.3337 0.5000
Nd1 Nd 0.0000 0.5000 0.0000
```

Number 1: energy of formation from the pure elements 1.42 kJ/mol of atoms. Number 2: energy of formation from the pure elements 1.51 kJ/mol of atoms. Number 3: energy of formation from the pure elements 29.82 kJ/mol of atoms. Number 4: energy of formation from the pure elements 0.83 kJ/mol of atoms.